First-principles (GGA+U) data for an optimized crystal structure of VZn2BrO, as listed in Alexandria.

Geometry as POSCAR:
```
VZn2BrO
1.0
5.0594 0.0000 0.0000
0.0000 5.0594 0.0000
0.0000 0.0000 3.8054
V Zn Br O
1 2 1 1
Direct
0.0000 0.0000 0.0000
0.0000 0.5000 0.5000
0.5000 0.0000 0.5000
0.5000 0.5000 0.0000
0.0000 0.0000 0.5000
```

* electronic total energy: -17.1 eV/f.u.
* DOS at the Fermi energy: 2.74 states/eV/cell